14
Lattice="9.684 0.000 0.000 -4.842 8.387 0.000 0.000 0.000 5.222" Properties=species:S:1:pos:R:3 comment="K3Zn4 (PBE, optimized geometry)" total_energy_ev_per_atom=-1.0267 polymorph_energy_ev_per_atom=0.0000 space_group=P6_3/m pbc="T T T"
K -2.377 5.470 1.306
K 1.293 3.593 1.306
K 3.759 0.677 3.917
K 1.084 7.710 1.306
K 3.549 4.793 3.917
K 7.219 2.917 3.917
Zn -3.848 7.200 3.917
Zn 0.531 1.454 3.917
Zn 1.525 0.267 1.306
Zn 0.000 5.591 3.917
Zn 4.842 2.796 1.306
Zn 3.317 8.120 3.917
Zn 4.311 6.933 1.306
Zn 8.690 1.187 1.306


12
Lattice="6.409 0.000 0.000 0.000 6.409 0.000 0.000 0.000 6.409" Properties=species:S:1:pos:R:3 comment="PuInB (PBE, optimized geometry)" total_energy_ev_per_atom=-6.7756 polymorph_energy_ev_per_atom=0.0000 space_group=F-43m magnetic_moment_mub_per_atom=1.96 pbc="T T T"
Pu 0.000 0.000 0.000
Pu 0.000 3.204 3.204
Pu 3.204 0.000 3.204
Pu 3.204 3.204 0.000
In 1.602 1.602 4.807
In 1.602 4.807 1.602
In 4.807 1.602 1.602
In 4.807 4.807 4.807
B 0.000 0.000 3.204
B 0.000 3.204 0.000
B 3.204 0.000 0.000
B 3.204 3.204 3.204


10
Lattice="7.140 0.000 0.000 0.000 7.140 0.000 0.000 0.000 3.701" Properties=species:S:1:pos:R:3 comment="Zr2TaGa2 (PBE, optimized geometry)" total_energy_ev_per_atom=-7.4552 space_group=P4/mbm magnetic_moment_mub_per_atom=0.00 pbc="T T T"
Zr 1.264 2.306 0.000
Zr 2.306 5.876 0.000
Zr 4.834 1.264 0.000
Zr 5.876 4.834 0.000
Ta 0.000 0.000 1.851
Ta 3.570 3.570 1.851
Ga 0.898 4.468 1.851
Ga 2.672 0.898 1.851
Ga 4.468 6.242 1.851
Ga 6.242 2.672 1.851


12
Lattice="8.041 0.000 0.000 0.000 8.041 0.000 0.000 0.000 8.041" Properties=species:S:1:pos:R:3 comment="KNdZr (PBE, optimized geometry)" total_energy_ev_per_atom=-3.3250 polymorph_energy_ev_per_atom=0.0000 space_group=F-43m magnetic_moment_mub_per_atom=1.62 pbc="T T T"
K 0.000 0.000 0.000
K 0.000 4.020 4.020
K 4.020 0.000 4.020
K 4.020 4.020 0.000
Nd 2.010 2.010 2.010
Nd 2.010 6.031 6.031
Nd 6.031 2.010 6.031
Nd 6.031 6.031 2.010
Zr 0.000 0.000 4.020
Zr 0.000 4.020 0.000
Zr 4.020 0.000 0.000
Zr 4.020 4.020 4.020


16
Lattice="8.413 0.000 0.000 0.000 4.373 0.000 0.000 0.000 10.224" Properties=species:S:1:pos:R:3 comment="Nd2Cd4PtAu (PBE, optimized geometry)" total_energy_ev_per_atom=-3.3788 space_group=Amm2 formation_energy_ev_per_atom=-0.575 magnetic_moment_mub_per_atom=0.00 pbc="T T T"
Nd 0.000 0.000 0.000
Nd 0.000 2.186 5.112
Nd 4.206 0.000 1.374
Nd 4.206 2.186 6.486
Cd 1.648 0.000 7.236
Cd 1.648 2.186 2.124
Cd 2.492 0.000 4.386
Cd 2.492 2.186 9.499
Cd 5.920 0.000 4.386
Cd 5.920 2.186 9.499
Cd 6.765 0.000 7.236
Cd 6.765 2.186 2.124
Pt 0.000 0.000 3.006
Pt 0.000 2.186 8.118
Au 4.206 0.000 8.595
Au 4.206 2.186 3.483


8
Lattice="4.503 0.000 0.000 0.000 4.503 0.000 0.000 0.000 5.390" Properties=species:S:1:pos:R:3 comment="SmAlNO (PBE, optimized geometry)" total_energy_ev_per_atom=-6.8747 polymorph_energy_ev_per_atom=0.4759 space_group=P4/nmm magnetic_moment_mub_per_atom=0.19 pbc="T T T"
Sm 1.126 3.377 0.000
Sm 3.377 1.126 0.000
Al 1.126 1.126 2.576
Al 3.377 3.377 2.814
N 1.126 1.126 0.758
N 3.377 3.377 4.632
O 1.126 3.377 2.695
O 3.377 1.126 2.695


16
Lattice="6.272 0.000 0.000 0.000 6.272 0.000 0.000 0.000 6.272" Properties=species:S:1:pos:R:3 comment="ScTaZnCo (PBE, optimized geometry)" total_energy_ev_per_atom=-6.5362 polymorph_energy_ev_per_atom=0.0000 space_group=F-43m formation_energy_ev_per_atom=0.102 magnetic_moment_mub_per_atom=0.25 pbc="T T T"
Sc 0.000 0.000 0.000
Sc 0.000 3.136 3.136
Sc 3.136 0.000 3.136
Sc 3.136 3.136 0.000
Ta 1.568 1.568 4.704
Ta 1.568 4.704 1.568
Ta 4.704 1.568 1.568
Ta 4.704 4.704 4.704
Zn 1.568 1.568 1.568
Zn 1.568 4.704 4.704
Zn 4.704 1.568 4.704
Zn 4.704 4.704 1.568
Co 0.000 0.000 3.136
Co 0.000 3.136 0.000
Co 3.136 0.000 0.000
Co 3.136 3.136 3.136


16
Lattice="6.683 0.000 0.000 0.000 6.683 0.000 0.000 0.000 6.683" Properties=species:S:1:pos:R:3 comment="LiMgSnAu (PBE, optimized geometry)" total_energy_ev_per_atom=-3.0927 polymorph_energy_ev_per_atom=0.0000 space_group=F-43m pbc="T T T"
Li 0.000 0.000 0.000
Li 0.000 3.341 3.341
Li 3.341 0.000 3.341
Li 3.341 3.341 0.000
Mg 1.671 1.671 5.012
Mg 1.671 5.012 1.671
Mg 5.012 1.671 1.671
Mg 5.012 5.012 5.012
Sn 1.671 1.671 1.671
Sn 1.671 5.012 5.012
Sn 5.012 1.671 5.012
Sn 5.012 5.012 1.671
Au 0.000 0.000 3.341
Au 0.000 3.341 0.000
Au 3.341 0.000 0.000
Au 3.341 3.341 3.341